[1]
Here is an optimized crystal structure of MgFe2Pb from the Alexandria database. Energies are from PBE-GGA.

Structure (CIF):
```
data_MgFe2Pb
_symmetry_space_group_name_H-M 'P 1'
_symmetry_Int_Tables_number 1
_symmetry_space_group_name_Hall 'P 1'
_cell_length_a 4.547
_cell_length_b 4.547
_cell_length_c 4.547
_cell_angle_alpha 60.00
_cell_angle_beta 60.00
_cell_angle_gamma 60.00
loop_
_atom_site_label
_atom_site_type_symbol
_atom_site_fract_x
_atom_site_fract_y
_atom_site_fract_z
_atom_site_occupancy
Mg1 Mg 0.500 0.500 0.500 1
Fe1 Fe 0.000 0.000 0.000 1
Pb1 Pb 0.750 0.750 0.750 1
Fe2 Fe 0.250 0.250 0.250 1
```

Calculated values
* E: -5.13 eV/atom
* formation enthalpy at 0 K: 0.4264 eV/atom
* SG: No. 216


[2]
Here is an optimized crystal structure of LaPrTm4 from the Alexandria database. Energies are from PBE-GGA.

Structure (CIF):
```
data_LaPrTm4
_symmetry_space_group_name_H-M 'P 1'
_symmetry_Int_Tables_number 1
_symmetry_space_group_name_Hall 'P 1'
_cell_length_a 6.681
_cell_length_b 6.681
_cell_length_c 6.681
_cell_angle_alpha 60.00
_cell_angle_beta 60.00
_cell_angle_gamma 60.00
loop_
_atom_site_label
_atom_site_type_symbol
_atom_site_fract_x
_atom_site_fract_y
_atom_site_fract_z
_atom_site_occupancy
Pr1 Pr 0.000 0.000 0.000 1
Tm1 Tm 0.625 0.125 0.625 1
Tm2 Tm 0.125 0.625 0.625 1
La1 La 0.250 0.250 0.250 1
Tm3 Tm 0.625 0.625 0.625 1
Tm4 Tm 0.625 0.625 0.125 1
```

Calculated values
* E: -4.33 eV/atom
* formation enthalpy at 0 K: 0.2699 eV/atom
* SG: No. 216


[3]
Here is an optimized crystal structure of Zr12Fe6Pb from the Alexandria database. Energies are from PBE-GGA.

Structure (CIF):
```
data_Zr12Fe6Pb
_symmetry_space_group_name_H-M 'P 1'
_symmetry_Int_Tables_number 1
_symmetry_space_group_name_Hall 'P 1'
_cell_length_a 7.851
_cell_length_b 7.851
_cell_length_c 7.851
_cell_angle_alpha 109.47
_cell_angle_beta 109.47
_cell_angle_gamma 109.47
loop_
_atom_site_label
_atom_site_type_symbol
_atom_site_fract_x
_atom_site_fract_y
_atom_site_fract_z
_atom_site_occupancy
Pb1 Pb 0.000 0.000 0.000 1
Zr1 Zr 0.901 0.197 0.703 1
Zr2 Zr 0.197 0.297 0.494 1
Zr3 Zr 0.703 0.901 0.197 1
Fe1 Fe 0.622 0.500 0.122 1
Zr4 Zr 0.506 0.803 0.703 1
Zr5 Zr 0.803 0.703 0.506 1
Fe2 Fe 0.378 0.500 0.878 1
Zr6 Zr 0.703 0.506 0.803 1
Fe3 Fe 0.122 0.622 0.500 1
Zr7 Zr 0.297 0.494 0.197 1
Fe4 Fe 0.878 0.378 0.500 1
Zr8 Zr 0.803 0.297 0.099 1
Zr9 Zr 0.297 0.099 0.803 1
Zr10 Zr 0.099 0.803 0.297 1
Zr11 Zr 0.197 0.703 0.901 1
Fe5 Fe 0.500 0.122 0.622 1
Zr12 Zr 0.494 0.197 0.297 1
Fe6 Fe 0.500 0.878 0.378 1
```

Calculated values
* E: -8.36 eV/atom
* formation enthalpy at 0 K: -0.0901 eV/atom
* SG: No. 204


[4]
Here is an optimized crystal structure of LiY2Ru from the Alexandria database. Energies are from PBE-GGA.

Structure (CIF):
```
data_LiY2Ru
_symmetry_space_group_name_H-M 'P 1'
_symmetry_Int_Tables_number 1
_symmetry_space_group_name_Hall 'P 1'
_cell_length_a 4.929
_cell_length_b 4.929
_cell_length_c 4.929
_cell_angle_alpha 60.00
_cell_angle_beta 60.00
_cell_angle_gamma 60.00
loop_
_atom_site_label
_atom_site_type_symbol
_atom_site_fract_x
_atom_site_fract_y
_atom_site_fract_z
_atom_site_occupancy
Ru1 Ru 0.500 0.500 0.500 1
Y1 Y 0.750 0.750 0.750 1
Li1 Li 0.000 0.000 0.000 1
Y2 Y 0.250 0.250 0.250 1
```

Calculated values
* E: -6.30 eV/atom
* formation enthalpy at 0 K: -0.2657 eV/atom
* SG: No. 225


[5]
Here is an optimized crystal structure of TiRhO from the Alexandria database. Energies are from PBE-GGA.

Structure (CIF):
```
data_TiRhO
_symmetry_space_group_name_H-M 'P 1'
_symmetry_Int_Tables_number 1
_symmetry_space_group_name_Hall 'P 1'
_cell_length_a 3.411
_cell_length_b 3.411
_cell_length_c 6.953
_cell_angle_alpha 104.20
_cell_angle_beta 104.20
_cell_angle_gamma 90.00
loop_
_atom_site_label
_atom_site_type_symbol
_atom_site_fract_x
_atom_site_fract_y
_atom_site_fract_z
_atom_site_occupancy
O1 O 0.500 0.000 0.000 1
Ti1 Ti 0.907 0.907 0.814 1
Ti2 Ti 0.093 0.093 0.186 1
Rh1 Rh 0.712 0.712 0.425 1
O2 O 0.000 0.500 0.000 1
Rh2 Rh 0.288 0.288 0.575 1
```

Calculated values
* E: -7.96 eV/atom
* formation energy (no corrections): -356 kJ/mol of formula units
* SG: No. 139


[6]
Here is an optimized crystal structure of KSe2BrO from the Alexandria database. Energies are from PBE-GGA.

Structure (CIF):
```
data_KSe2BrO
_symmetry_space_group_name_H-M 'P 1'
_symmetry_Int_Tables_number 1
_symmetry_space_group_name_Hall 'P 1'
_cell_length_a 4.279
_cell_length_b 4.279
_cell_length_c 7.768
_cell_angle_alpha 90.00
_cell_angle_beta 90.00
_cell_angle_gamma 90.00
loop_
_atom_site_label
_atom_site_type_symbol
_atom_site_fract_x
_atom_site_fract_y
_atom_site_fract_z
_atom_site_occupancy
Se1 Se 0.000 0.500 0.000 1
K1 K 0.500 0.500 0.500 1
Br1 Br 0.000 0.000 0.500 1
O1 O 0.000 0.000 0.000 1
Se2 Se 0.500 0.000 0.000 1
```

Calculated values
* E: -3.22 eV/atom
* formation energy (no corrections): -136 kJ/mol of formula units
* SG: No. 123


[7]
Here is an optimized crystal structure of Er8Te4P3C from the Alexandria database. Energies are from PBE-GGA.

Structure (CIF):
```
data_Er8Te4P3C
_symmetry_space_group_name_H-M 'P 1'
_symmetry_Int_Tables_number 1
_symmetry_space_group_name_Hall 'P 1'
_cell_length_a 8.045
_cell_length_b 8.360
_cell_length_c 8.045
_cell_angle_alpha 118.76
_cell_angle_beta 120.00
_cell_angle_gamma 90.00
loop_
_atom_site_label
_atom_site_type_symbol
_atom_site_fract_x
_atom_site_fract_y
_atom_site_fract_z
_atom_site_occupancy
P1 P 0.500 0.500 0.500 1
Te1 Te 0.500 0.000 0.500 1
Te2 Te 0.000 0.000 0.500 1
C1 C 0.000 0.500 0.000 1
Er1 Er 0.263 0.290 0.527 1
Er2 Er 0.756 0.700 0.978 1
Er3 Er 0.222 0.700 0.445 1
Te3 Te 0.500 0.000 0.000 1
Te4 Te 0.000 0.000 0.000 1
Er4 Er 0.778 0.300 0.022 1
Er5 Er 0.778 0.300 0.555 1
Er6 Er 0.222 0.700 0.978 1
P2 P 0.000 0.500 0.500 1
Er7 Er 0.244 0.300 0.022 1
P3 P 0.500 0.500 0.000 1
Er8 Er 0.737 0.710 0.473 1
```

Calculated values
* E: -6.02 eV/atom
* formation energy (no corrections): -2098 kJ/mol of formula units
* SG: No. 166